# 1
Here is a geometry-optimized MgAl3Rh2 structure from Alexandria. Energies are from PBE-GGA.

Symmetry ... Cmcm
Calculated formation energy ... -0.6797 eV/atom
Calculated volume ... 17.44 A^3/atom

Geometry as POSCAR:
```
MgAl3Rh2
1.0
5.644 0.000 0.000
0.000 5.974 -1.205
0.000 0.834 6.037
Mg Al Rh
2 6 4
Direct
0.250 0.452 0.452 Mg
0.750 0.548 0.548 Mg
0.750 0.475 0.033 Al
0.750 0.033 0.475 Al
0.250 0.525 0.967 Al
0.750 0.984 0.984 Al
0.250 0.016 0.016 Al
0.250 0.967 0.525 Al
0.500 0.766 0.234 Rh
0.000 0.766 0.234 Rh
0.000 0.234 0.766 Rh
0.500 0.234 0.766 Rh
```

# 2
Here is a geometry-optimized Mg2Al9Rh3 structure from Alexandria. Energies are from PBE-GGA.

Symmetry ... C2/c
Calculated formation energy ... -0.5384 eV/atom
Calculated volume ... 16.28 A^3/atom

Geometry as POSCAR:
```
Mg2Al9Rh3
1.0
2.175 -6.376 -3.208
3.673 2.646 5.931
-8.419 -1.377 5.999
Mg Al Rh
4 18 6
Direct
0.334 0.250 0.750 Mg
0.666 0.750 0.250 Mg
0.000 0.584 0.750 Mg
0.000 0.416 0.250 Mg
0.451 0.919 0.748 Al
0.549 0.081 0.252 Al
0.671 0.703 0.752 Al
0.329 0.297 0.248 Al
0.451 0.643 0.925 Al
0.549 0.357 0.075 Al
0.218 0.526 0.575 Al
0.782 0.474 0.425 Al
0.885 0.135 0.750 Al
0.115 0.865 0.250 Al
0.125 0.980 0.938 Al
0.875 0.020 0.062 Al
0.542 0.187 0.562 Al
0.458 0.813 0.438 Al
0.882 0.858 0.574 Al
0.118 0.142 0.426 Al
0.784 0.308 0.926 Al
0.216 0.692 0.074 Al
0.500 0.000 0.000 Rh
0.500 0.500 0.500 Rh
0.848 0.174 0.501 Rh
0.152 0.826 0.499 Rh
0.173 0.347 0.999 Rh
0.827 0.653 0.001 Rh
```

# 3
Here is a geometry-optimized Mg2AlRh3 structure from Alexandria. Energies are from PBE-GGA.

Symmetry ... Cmmm
Calculated formation energy ... -0.7251 eV/atom
Calculated volume ... 14.54 A^3/atom

Geometry as POSCAR:
```
Mg2AlRh3
1.0
-0.351 -1.625 2.581
3.299 -2.594 -1.185
2.546 5.237 3.645
Mg Al Rh
2 1 3
Direct
0.000 0.331 0.662 Mg
0.000 0.669 0.338 Mg
0.000 0.000 0.000 Al
0.500 0.500 0.000 Rh
0.500 0.842 0.683 Rh
0.500 0.158 0.317 Rh
```

# 4
Here is a geometry-optimized Mg5AlRh6 structure from Alexandria. Energies are from PBE-GGA.

Symmetry ... Immm
Calculated formation energy ... -0.6015 eV/atom
Calculated volume ... 14.86 A^3/atom

Geometry as POSCAR:
```
Mg5AlRh6
1.0
4.205 -0.004 -1.179
-3.152 6.135 -3.173
-0.155 -0.881 7.539
Mg Rh Al
5 6 1
Direct
0.500 0.172 0.828 Mg
0.000 0.335 0.665 Mg
0.500 0.500 0.500 Mg
0.000 0.665 0.335 Mg
0.500 0.828 0.172 Mg
0.243 0.081 0.405 Rh
0.757 0.595 0.919 Rh
0.736 0.236 0.236 Rh
0.264 0.764 0.764 Rh
0.243 0.405 0.081 Rh
0.757 0.919 0.595 Rh
0.000 0.000 0.000 Al
```

In the order shown, the computed uncorrected energy values come out to -5.267; -4.747; -5.556; -5.254 eV per atom.
In the order shown, the computed total magnetization values come out to 0.000; 0.000; 0.000; 0.000 μB per atom.
In the order shown, the computed theoretical density values come out to 4.937; 4.372; 7.317; 7.134 g cm⁻³.